Pm5PuS8 after structural relaxation. Source: Alexandria, functional PBE.

Unit cell a=7.365 b=7.365 c=7.365 alpha=109.32 beta=109.32 gamma=109.78
Fractional coordinates of all 14 atoms:
Pm 0.000 0.000 0.000
Pm 0.252 0.629 0.125
Pm 0.371 0.496 0.623
Pm 0.504 0.128 0.875
Pm 0.872 0.748 0.377
Pu 0.750 0.250 0.500
S 0.123 0.225 0.751
S 0.127 0.728 0.751
S 0.272 0.023 0.399
S 0.475 0.373 0.249
S 0.624 0.873 0.601
S 0.627 0.877 0.102
S 0.775 0.525 0.898
S 0.977 0.376 0.249

## Properties
As for the magnetic moment: 6.6 μB per cell. The density of states at the Fermi level comes out at 12.59 states/eV/cell. As for the space group: I-4. For the formation energy without anion corrections, the calculation gives -192.93 kJ/mol of atoms. The calculation puts the uncorrected energy at -99.10 eV for the cell shown.

---

Pm3Pu2ScS6 after structural relaxation. Source: Alexandria, functional PBE.

Unit cell a=6.825 b=6.825 c=6.882 alpha=99.52 beta=99.52 gamma=120.00
Fractional coordinates of all 12 atoms:
Pm 0.000 0.000 0.000
Pm 0.331 0.669 0.000
Pm 0.669 0.331 0.000
Pu 0.166 0.834 0.500
Pu 0.834 0.166 0.500
Sc 0.500 0.500 0.500
S 0.098 0.422 0.265
S 0.255 0.255 0.739
S 0.422 0.098 0.265
S 0.578 0.902 0.735
S 0.745 0.745 0.261
S 0.902 0.578 0.735

## Properties
As for the magnetic moment: 11.3 μB per cell. The density of states at the Fermi level comes out at 16.45 states/eV/cell. As for the space group: C2/m. For the formation energy without anion corrections, the calculation gives -185.03 kJ/mol of atoms. The calculation puts the uncorrected energy at -97.02 eV for the cell shown.

---

PmPu2ScS4 after structural relaxation. Source: Alexandria, functional PBE.

Unit cell a=6.777 b=3.902 c=6.798 alpha=90.00 beta=109.27 gamma=90.00
Fractional coordinates of all 8 atoms:
Pm 0.000 0.000 0.000
Pu 0.000 0.500 0.500
Pu 0.500 0.000 0.500
Sc 0.500 0.500 0.000
S 0.262 0.500 0.249
S 0.265 0.000 0.760
S 0.735 0.000 0.240
S 0.738 0.500 0.751

## Properties
As for the magnetic moment: 11.3 μB per cell. The density of states at the Fermi level comes out at 16.27 states/eV/cell. As for the space group: P2/m. For the formation energy without anion corrections, the calculation gives -178.51 kJ/mol of atoms. The calculation puts the uncorrected energy at -71.06 eV for the cell shown.

---

Pm3Sm3PuS8 after structural relaxation. Source: Alexandria, functional PBE.

Unit cell a=8.030 b=8.030 c=8.030 alpha=59.94 beta=59.94 gamma=59.94
Fractional coordinates of all 15 atoms:
Pm 0.000 0.500 0.500
Pm 0.500 0.000 0.500
Pm 0.500 0.500 0.000
Sm 0.000 0.000 0.500
Sm 0.000 0.500 0.000
Sm 0.500 0.000 0.000
Pu 0.500 0.500 0.500
S 0.249 0.249 0.249
S 0.251 0.748 0.748
S 0.252 0.252 0.749
S 0.252 0.749 0.252
S 0.748 0.251 0.748
S 0.748 0.748 0.251
S 0.749 0.252 0.252
S 0.751 0.751 0.751

## Properties
As for the magnetic moment: 6.2 μB per cell. The density of states at the Fermi level comes out at 14.69 states/eV/cell. As for the space group: R-3m. For the formation energy without anion corrections, the calculation gives -193.69 kJ/mol of atoms. The calculation puts the uncorrected energy at -105.87 eV for the cell shown.

---

Pm3SmPu2S6 after structural relaxation. Source: Alexandria, functional PBE.

Unit cell a=6.924 b=6.924 c=6.952 alpha=99.53 beta=99.53 gamma=120.00
Fractional coordinates of all 12 atoms:
Pm 0.000 0.000 0.000
Pm 0.334 0.666 0.000
Pm 0.666 0.334 0.000
Sm 0.500 0.500 0.500
Pu 0.167 0.833 0.500
Pu 0.833 0.167 0.500
S 0.081 0.418 0.255
S 0.244 0.244 0.744
S 0.418 0.081 0.255
S 0.582 0.919 0.745
S 0.756 0.756 0.256
S 0.919 0.582 0.745

## Properties
As for the magnetic moment: 11.3 μB per cell. The density of states at the Fermi level comes out at 17.04 states/eV/cell. As for the space group: C2/m. For the formation energy without anion corrections, the calculation gives -189.27 kJ/mol of atoms. The calculation puts the uncorrected energy at -95.94 eV for the cell shown.

---

Pm4SmPu3S8 after structural relaxation. Source: Alexandria, functional PBE.

Unit cell a=8.018 b=8.018 c=8.018 alpha=59.72 beta=59.72 gamma=59.72
Fractional coordinates of all 16 atoms:
Pm 0.000 0.000 0.000
Pm 0.000 0.500 0.500
Pm 0.500 0.000 0.500
Pm 0.500 0.500 0.000
Sm 0.500 0.500 0.500
Pu 0.000 0.000 0.500
Pu 0.000 0.500 0.000
Pu 0.500 0.000 0.000
S 0.246 0.749 0.749
S 0.247 0.247 0.247
S 0.251 0.251 0.754
S 0.251 0.754 0.251
S 0.749 0.246 0.749
S 0.749 0.749 0.246
S 0.753 0.753 0.753
S 0.754 0.251 0.251

## Properties
As for the magnetic moment: 16.9 μB per cell. The density of states at the Fermi level comes out at 25.03 states/eV/cell. As for the space group: R-3m. For the formation energy without anion corrections, the calculation gives -188.31 kJ/mol of atoms. The calculation puts the uncorrected energy at -130.96 eV for the cell shown.

---

Pm2SmPu3S6 after structural relaxation. Source: Alexandria, functional PBE.

Unit cell a=8.926 b=8.926 c=7.993 alpha=103.12 beta=103.12 gamma=25.78
Fractional coordinates of all 12 atoms:
Pm 0.167 0.167 0.333
Pm 0.833 0.833 0.667
Sm 0.500 0.500 0.000
Pu 0.167 0.167 0.833
Pu 0.500 0.500 0.500
Pu 0.833 0.833 0.167
S 0.002 0.002 0.747
S 0.332 0.332 0.921
S 0.335 0.335 0.412
S 0.665 0.665 0.588
S 0.668 0.668 0.079
S 0.998 0.998 0.253

## Properties
As for the magnetic moment: 16.9 μB per cell. The density of states at the Fermi level comes out at 23.85 states/eV/cell. As for the space group: C2/m. For the formation energy without anion corrections, the calculation gives -185.22 kJ/mol of atoms. The calculation puts the uncorrected energy at -105.02 eV for the cell shown.

---

Pm2SmPuS4 after structural relaxation. Source: Alexandria, functional PBE.

Unit cell a=6.949 b=3.994 c=6.953 alpha=90.00 beta=109.26 gamma=90.00
Fractional coordinates of all 8 atoms:
Pm 0.000 0.000 0.000
Pm 0.500 0.500 0.000
Sm 0.000 0.500 0.500
Pu 0.500 0.000 0.500
S 0.251 0.000 0.746
S 0.254 0.500 0.256
S 0.746 0.500 0.744
S 0.749 0.000 0.254

## Properties
As for the magnetic moment: 5.7 μB per cell. The density of states at the Fermi level comes out at 8.52 states/eV/cell. As for the space group: P2/m. For the formation energy without anion corrections, the calculation gives -191.15 kJ/mol of atoms. The calculation puts the uncorrected energy at -60.91 eV for the cell shown.

---

Question: Which value of magnetic moment does entry 2 give?
Answer: 11.3 μB per cell

---

Question: The highest formation energy without anion corrections belongs to which entry?
Answer: PmPu2ScS4

---

Please write out number 6 again, unchanged.
Pm4SmPu3S8 after structural relaxation. Source: Alexandria, functional PBE.

Unit cell a=8.018 b=8.018 c=8.018 alpha=59.72 beta=59.72 gamma=59.72
Fractional coordinates of all 16 atoms:
Pm 0.000 0.000 0.000
Pm 0.000 0.500 0.500
Pm 0.500 0.000 0.500
Pm 0.500 0.500 0.000
Sm 0.500 0.500 0.500
Pu 0.000 0.000 0.500
Pu 0.000 0.500 0.000
Pu 0.500 0.000 0.000
S 0.246 0.749 0.749
S 0.247 0.247 0.247
S 0.251 0.251 0.754
S 0.251 0.754 0.251
S 0.749 0.246 0.749
S 0.749 0.749 0.246
S 0.753 0.753 0.753
S 0.754 0.251 0.251

## Properties
As for the magnetic moment: 16.9 μB per cell. The density of states at the Fermi level comes out at 25.03 states/eV/cell. As for the space group: R-3m. For the formation energy without anion corrections, the calculation gives -188.31 kJ/mol of atoms. The calculation puts the uncorrected energy at -130.96 eV for the cell shown.

---

Question: The lowest uncorrected energy belongs to which entry?
Answer: Pm4SmPu3S8